Entry 1:
A PBEsol-optimized structure of SiPbSe3, computed with meta-GGA SCAN.

Calculated values
mass density	6.85	Mg/m³
raw formation energy	-11	meV/atom
total magnetization	0.00	Bohr magnetons per cell

Cell lengths 4.8542, 4.8542, 4.8542 Å; angles 90.00, 90.00, 90.00 degrees
Positions (direct):
1 Pb 0.5000 0.5000 0.5000
2 Si 0.0000 0.0000 0.0000
3 Se 0.0000 0.5000 0.0000
4 Se 0.0000 0.0000 0.5000
5 Se 0.5000 0.0000 0.0000

***

Entry 2:
A PBEsol-optimized structure of Li2TlSb, computed with meta-GGA SCAN.

Calculated values
mass density	6.14	Mg/m³
raw formation energy	-101	meV/atom
total magnetization	0.00	Bohr magnetons per cell

Cell lengths 3.3432, 3.3432, 9.6876 Å; angles 80.06, 80.06, 60.00 degrees
Positions (direct):
1 Sb 0.4938 0.4938 0.5186
2 Tl 0.2553 0.2553 0.2341
3 Li 0.9988 0.9988 0.0036
4 Li 0.7521 0.7521 0.7437

***

Entry 3:
A PBEsol-optimized structure of Re2HgTe, computed with meta-GGA SCAN.

Calculated values
mass density	16.31	Mg/m³
raw formation energy	1332	meV/atom
total magnetization	0.00	Bohr magnetons per cell
E above lowest polymorph	73.5	kJ per mole of atoms

Cell lengths 3.0852, 5.0966, 5.3785 Å; angles 116.74, 104.32, 94.78 degrees
Positions (direct):
1 Hg 0.0000 0.5000 0.0000
2 Re 0.0000 0.0000 0.5000
3 Re 0.5000 0.5000 0.5000
4 Te 0.5000 0.0000 0.0000

***

Entry 4:
A PBEsol-optimized structure of LaSb2Rh, computed with meta-GGA SCAN.

Calculated values
mass density	8.23	Mg/m³
raw formation energy	-963	meV/atom
total magnetization	0.00	Bohr magnetons per cell

Cell lengths 4.3115, 4.8748, 4.8748 Å; angles 107.09, 90.00, 90.00 degrees
Positions (direct):
1 Sb 0.0000 0.8045 0.1955
2 Sb 0.0000 0.1955 0.8045
3 Rh 0.5000 0.0000 0.0000
4 La 0.5000 0.5000 0.5000